1.
Computed, not measured: crystalline Ce6In2Sb at its relaxed geometry at the GGA-PBE level of DFT.

Calculated values
Energy   -5.295 eV per atom

Cell: 9.094 9.094 3.193 Å, 90.00 90.00 120.00°
Positions (direct):
Ce: 0.000 0.328 0.000
Ce: 0.000 0.672 0.000
Ce: 0.328 0.000 0.000
Ce: 0.328 0.328 0.000
Ce: 0.672 0.000 0.000
Ce: 0.672 0.672 0.000
In: 0.333 0.667 0.500
In: 0.667 0.333 0.500
Sb: 0.000 0.000 0.500



2.
Computed, not measured: crystalline Ce5In12Sb3 at its relaxed geometry at the GGA-PBE level of DFT.

Calculated values
Energy   -3.454 eV per atom

Cell: 15.802 15.802 15.802 Å, 109.47 109.47 109.47°
Positions (direct):
Ce: 0.000 0.000 0.000
Ce: 0.000 0.000 0.500
Ce: 0.000 0.500 0.000
Ce: 0.000 0.500 0.500
Ce: 0.125 0.750 0.875
Ce: 0.125 0.875 0.250
Ce: 0.250 0.125 0.875
Ce: 0.250 0.625 0.375
Ce: 0.375 0.250 0.625
Ce: 0.375 0.625 0.750
Ce: 0.500 0.000 0.000
Ce: 0.500 0.000 0.500
Ce: 0.500 0.500 0.000
Ce: 0.500 0.500 0.500
Ce: 0.625 0.375 0.250
Ce: 0.625 0.750 0.375
Ce: 0.750 0.375 0.625
Ce: 0.750 0.875 0.125
Ce: 0.875 0.125 0.750
Ce: 0.875 0.250 0.125
In: 0.066 0.648 0.414
In: 0.066 0.918 0.652
In: 0.082 0.234 0.148
In: 0.082 0.348 0.934
In: 0.086 0.734 0.652
In: 0.086 0.852 0.434
In: 0.148 0.082 0.234
In: 0.148 0.566 0.914
In: 0.152 0.234 0.586
In: 0.152 0.418 0.566
In: 0.234 0.148 0.082
In: 0.234 0.586 0.152
In: 0.266 0.348 0.914
In: 0.266 0.418 0.352
In: 0.348 0.914 0.266
In: 0.348 0.934 0.082
In: 0.352 0.266 0.418
In: 0.352 0.586 0.934
In: 0.414 0.066 0.648
In: 0.414 0.848 0.766
In: 0.418 0.352 0.266
In: 0.418 0.566 0.152
In: 0.434 0.086 0.852
In: 0.434 0.848 0.582
In: 0.566 0.152 0.418
In: 0.566 0.914 0.148
In: 0.582 0.434 0.848
In: 0.582 0.648 0.734
In: 0.586 0.152 0.234
In: 0.586 0.934 0.352
In: 0.648 0.414 0.066
In: 0.648 0.734 0.582
In: 0.652 0.066 0.918
In: 0.652 0.086 0.734
In: 0.734 0.582 0.648
In: 0.734 0.652 0.086
In: 0.766 0.414 0.848
In: 0.766 0.852 0.918
In: 0.848 0.582 0.434
In: 0.848 0.766 0.414
In: 0.852 0.434 0.086
In: 0.852 0.918 0.766
In: 0.914 0.148 0.566
In: 0.914 0.266 0.348
In: 0.918 0.652 0.066
In: 0.918 0.766 0.852
In: 0.934 0.082 0.348
In: 0.934 0.352 0.586
Sb: 0.125 0.250 0.375
Sb: 0.125 0.375 0.750
Sb: 0.250 0.375 0.125
Sb: 0.250 0.875 0.625
Sb: 0.375 0.125 0.250
Sb: 0.375 0.750 0.125
Sb: 0.625 0.250 0.875
Sb: 0.625 0.875 0.750
Sb: 0.750 0.125 0.375
Sb: 0.750 0.625 0.875
Sb: 0.875 0.625 0.250
Sb: 0.875 0.750 0.625



3.
Computed, not measured: crystalline Ce5InSb4 at its relaxed geometry at the GGA-PBE level of DFT.

Calculated values
Energy   -5.709 eV per atom

Cell: 7.790 7.790 7.790 Å, 99.58 99.58 131.85°
Positions (direct):
Ce: 0.000 0.000 0.000
Ce: 0.196 0.602 0.798
Ce: 0.398 0.196 0.594
Ce: 0.602 0.804 0.406
Ce: 0.804 0.398 0.202
In: 0.500 0.500 0.000
Sb: 0.101 0.300 0.401
Sb: 0.300 0.899 0.200
Sb: 0.700 0.101 0.800
Sb: 0.899 0.700 0.599



4.
Computed, not measured: crystalline CeInSb2 at its relaxed geometry at the GGA-PBE level of DFT.

Calculated values
Energy   -4.085 eV per atom

Cell: 12.524 12.524 12.524 Å, 15.21 15.21 15.21°
Positions (direct):
Ce: 0.000 0.000 0.000
In: 0.500 0.500 0.500
Sb: 0.086 0.086 0.086
Sb: 0.914 0.914 0.914